This record from the Alexandria database describes an optimized crystal structure of KZnHg2Bi. The functional is PBE-GGA.

Output
size of the total moment	0.00	μB/f.u.
volume	162	Å³/f.u.
energy relative to the lowest polymorph listed for this composition	0	meV per atom
symmetry	P4/mmm (123)
formation energy	-53	meV/atom
density of states at the Fermi level	2.776	states/eV per cell

Unit cell a=5.405 b=5.405 c=5.559 alpha=90.00 beta=90.00 gamma=90.00
Fractional positions:
K1 0.500 0.500 0.500
Zn1 0.000 0.000 0.000
Bi1 0.000 0.000 0.500
Hg1 0.000 0.500 0.000
Hg2 0.500 0.000 0.000